# NiSe2I PBE optimized geometry
# - Relative energy among the computed polymorphs: 0.0 kJ/mol of atoms
# - Total energy: -14.9 eV/cell
# - Uncorrected formation energy: -0.1412 eV per atom
data_NiSe2I
_space_group_name_H-M_alt 'P 1'
_space_group_IT_number 1
_cell_length_a 8.267
_cell_length_b 8.267
_cell_length_c 8.267
_cell_angle_alpha 26.25
_cell_angle_beta 26.25
_cell_angle_gamma 26.25
loop_
_space_group_symop_operation_xyz
'x,y,z'
loop_
_atom_site_label
_atom_site_fract_x
_atom_site_fract_y
_atom_site_fract_z
I1 0.000 0.000 0.000
Ni1 0.500 0.500 0.500
Se1 0.882 0.882 0.882
Se2 0.118 0.118 0.118